Compound: La2Nb2O5
Source: OQMD
Functional: PBE
Structure: optimized geometry

a = 7.1737 Å, b = 4.1154 Å, c = 4.1154 Å
α = 90.00°, β = 90.00°, γ = 90.00°
Closest atoms and distances in Å follow each position.
Element x y z (fractional)
1 La 0.0000 0.0000 0.0000  8 O 2.70
2 La 0.5000 0.0000 0.0000  12 O 2.76-2.91
3 Nb 0.1993 0.5000 0.5000  5 O 2.08-2.16
4 Nb 0.8007 0.5000 0.5000  5 O 2.08-2.16
5 O 0.2429 0.5000 0.0000  2 Nb 2.08
6 O 0.7571 0.5000 0.0000  2 Nb 2.08
7 O 0.2429 0.0000 0.5000  2 Nb 2.08
8 O 0.7571 0.0000 0.5000  2 Nb 2.08
9 O 0.5000 0.5000 0.5000  2 Nb 2.16

Calculated values
Symmetry: No. 123
Total energy, eV/atom: -8.582
Magnetic moment, μB/f.u.: 0.00